Compound: NbHPd
Source: Alexandria
Functional: PBE
Structure: optimized geometry

Properties
* volume: 35 Å³/cell
* energy above the most stable polymorph in this dataset: 42 meV/atom
* density: 9.38 Mg/m³

```
NbHPd
1.0
2.950 0.000 0.000
0.000 2.950 0.000
0.000 0.000 4.074
H Pd Nb
1 1 1
Direct
0.000 0.000 0.500
0.000 0.000 0.000
0.500 0.500 0.500
```

Compound: Ca2ThHg8
Source: Alexandria
Functional: PBE
Structure: optimized geometry

Properties
* volume: 290 Å³/cell
* ΔE_f: -0.29 eV/atom
* density: 10.97 Mg/m³

```
Ca2ThHg8
1.0
4.953 0.000 -1.504
-0.968 7.165 -3.187
-0.123 -0.592 8.502
Hg Th Ca
8 1 2
Direct
0.000 0.302 0.000
0.000 0.698 0.000
0.641 0.447 0.282
0.152 0.152 0.304
0.641 0.835 0.282
0.359 0.165 0.718
0.359 0.553 0.718
0.848 0.848 0.696
0.500 0.000 0.000
0.792 0.292 0.584
0.208 0.708 0.416
```